First-principles (PBE-GGA) data for crystalline NiH2Pb at its relaxed geometry, as listed in Alexandria via LeMat-Bulk.

Properties
As for the space group: R-3m. The volume is 46 Å³/cell. The calculation puts the electronic total energy at -3.74 eV/atom.

abc: 3.1009 3.1009 5.8407
angles: 74.61 74.61 60.00
Fractional coordinates of all 4 atoms:
H1 0.3029 0.3029 0.0914
H2 0.6971 0.6971 0.9086
Pb1 0.5000 0.5000 0.5000
Ni1 0.0000 0.0000 0.0000